A plane-wave DFT calculation with PBE with a Hubbard U was carried out for a relaxed VHIO2 crystal.

Values from the calculation:
M_tot = 0.2802 μB per atom
Calculated volume = 62.9 Å³/cell
Offset from the most stable computed form = 1.169 eV/atom
E_tot = -3.795 eV/atom

```
VHIO2
1.0
4.243 0.000 0.000
0.000 4.243 0.000
0.000 0.000 3.493
V H I O
1 1 1 2
direct
0.000 0.000 0.000
0.500 0.500 0.500
0.500 0.500 0.000
0.000 0.500 0.500
0.500 0.000 0.500
```